The following is a DFT calculation (PBE-GGA) of Cs2BiCBr6 after structural relaxation.

Geometry as extended XYZ:
```
10
Lattice="-3.779 3.779 6.350 3.779 -3.779 6.350 3.779 3.779 -6.350" Properties=species:S:1:pos:R:3 pbc="T T T"
Cs 3.779 0.000 3.175
Cs 0.000 3.779 3.175
Bi 0.000 0.000 0.000
C 0.000 0.000 6.350
Br 0.000 0.000 2.863
Br 2.042 2.042 0.000
Br 1.737 -1.737 6.350
Br -1.737 1.737 6.350
Br 1.737 1.737 6.350
Br 0.000 0.000 9.837
```

The value obtained for the total magnetic moment is 1.0 μB per formula unit. For the formation energy from raw total energies, the calculation gives -4.91 eV per formula unit. The space-group type is I4/mmm (139). For the energy, the calculation gives -2.976 eV/atom.